(1)
Below is an optimized crystal structure of ScPSe3, with properties calculated at the PBE level. Values from VASP.

Structure (Quantum ESPRESSO input):
```
&SYSTEM
  ibrav = 0, nat = 5, ntyp = 3
/
ATOMIC_SPECIES
Sc 44.96 Sc.upf
P 30.97 P.upf
Se 78.96 Se.upf
ATOMIC_POSITIONS angstrom
Sc 0.000 0.000 0.000
P -1.771 2.008 3.506
Se 0.204 -0.798 2.410
Se 0.512 2.381 0.745
Se -2.486 0.425 0.351
CELL_PARAMETERS angstrom
-4.973 0.850 0.702
0.408 -1.596 4.820
1.024 4.762 1.490
```

Values from the calculation:
M_tot = 0.0 μB/f.u.
space group = Pm-3m
E = -4.26 eV per atom
crystal system = cubic
E above lowest polymorph = 336 meV per atom

(2)
Below is an optimized crystal structure of HoTmZrPa, with properties calculated at the PBE level. Values from VASP.

Structure (Quantum ESPRESSO input):
```
&SYSTEM
  ibrav = 0, nat = 4, ntyp = 4
/
ATOMIC_SPECIES
Pa 231.04 Pa.upf
Tm 168.93 Tm.upf
Ho 164.93 Ho.upf
Zr 91.22 Zr.upf
ATOMIC_POSITIONS angstrom
Pa 8.013 4.626 3.271
Tm 2.671 1.542 1.090
Ho 5.342 3.084 2.181
Zr 0.000 0.000 0.000
CELL_PARAMETERS angstrom
5.342 0.000 0.000
2.671 4.626 0.000
2.671 1.542 4.361
```

Values from the calculation:
M_tot = 0.0 μB/f.u.
space group = F-43m
E = -6.48 eV per atom
energy of formation from the pure elements = 296 meV/atom
crystal system = cubic